No. 1
The following is a DFT calculation (GGA-PBE) of Cs2HoZn2O4 after structural relaxation.

abc: 3.4564 7.5016 7.1743
angles: 107.34 90.00 103.32
Fractional positions:
Ho: 0.0000 0.0000 0.0000
Zn: 0.3220 0.6440 0.9665
Cs: 0.1311 0.2621 0.5591
O: 0.4567 0.9134 0.1678
Zn: 0.6780 0.3560 0.0335
O: 0.5433 0.0866 0.8322
Cs: 0.8689 0.7379 0.4409
O: 0.1644 0.3287 0.1774
O: 0.8356 0.6713 0.8226

The density of states at the Fermi level comes out at 0.20 states/eV/atom. The space-group type is C2/m, No. 12. For the formation energy without anion corrections, the calculation gives -15.45 eV per formula unit.

=====

No. 2
The following is a DFT calculation (GGA-PBE) of TaTlCo2 after structural relaxation.

abc: 5.0563 5.0563 5.0563
angles: 136.61 136.61 63.04
Fractional positions:
Ta: 0.5000 0.5000 0.0000
Co: 0.0000 0.0000 0.0000
Co: 0.2500 0.7500 0.5000
Tl: 0.7500 0.2500 0.5000

The density of states at the Fermi level comes out at 0.83 states/eV/atom. The value obtained for the energy above the most stable polymorph in this dataset is 1.03 eV per formula unit. The space-group type is I-4m2, No. 119. Its energy of formation from the pure elements is 364 meV/atom.

=====

No. 3
The following is a DFT calculation (GGA-PBE) of Tb5Ce2Pt4 after structural relaxation.

abc: 3.7522 6.8280 12.3692
angles: 87.00 98.72 90.00
Fractional positions:
Tb: 0.1346 0.8192 0.2693
Ce: 0.0902 0.3368 0.1805
Tb: 0.2335 0.2655 0.4670
Pt: 0.6700 0.5117 0.3400
Tb: 0.5000 0.0000 0.0000
Tb: 0.7665 0.7345 0.5330
Pt: 0.3300 0.4883 0.6600
Pt: 0.0261 0.6979 0.0523
Pt: 0.9739 0.3021 0.9477
Tb: 0.8654 0.1808 0.7307
Ce: 0.9098 0.6632 0.8195

The density of states at the Fermi level comes out at 1.83 states/eV/atom. The space-group type is C2/m, No. 12. Its energy of formation from the pure elements is -639 meV/atom.

=====

No. 4
The following is a DFT calculation (GGA-PBE) of NaLiAu after structural relaxation.

abc: 3.9253 4.4252 6.9896
angles: 89.98 106.62 90.02
Fractional positions:
Au: 0.4265 0.2500 0.8476
Li: 0.0658 0.2501 0.1241
Li: 0.9342 0.7499 0.8759
Na: 0.2553 0.7500 0.5114
Na: 0.7447 0.2500 0.4886
Au: 0.5735 0.7500 0.1524

The density of states at the Fermi level comes out at 0.30 states/eV/atom. The value obtained for the energy above the most stable polymorph in this dataset is 0.20 eV per formula unit. The space-group type is P2_1/m, No. 11. Its energy of formation from the pure elements is -297 meV/atom.